[1]
Crystalline NdHo2Tl2 at its relaxed geometry. Source: the Alexandria database, functional PBE-GGA.

a = 5.287 Å, b = 6.654 Å, c = 9.264 Å
α = 103.13°, β = 90.06°, γ = 113.39°
Element x y z (fractional)
Nd  0.067  0.134  0.353
Nd  0.933  0.866  0.647
Ho  0.251  0.503  0.754
Ho  0.429  0.858  0.138
Ho  0.571  0.142  0.862
Ho  0.749  0.497  0.246
Tl  0.137  0.272  0.039
Tl  0.365  0.730  0.445
Tl  0.635  0.270  0.555
Tl  0.863  0.728  0.961

Values from the calculation:
Polymorph energy (0 for the lowest one): 0.0 meV/atom
M_tot: 0.00 μB/f.u.
Energy relative to the elements: -283 meV/atom



[2]
Crystalline CdHg2 at its relaxed geometry. Source: the Alexandria database, functional PBE-GGA.

a = 7.141 Å, b = 7.141 Å, c = 7.141 Å
α = 90.00°, β = 90.00°, γ = 90.00°
Element x y z (fractional)
Cd  0.000  0.000  0.000
Cd  0.000  0.500  0.500
Cd  0.500  0.000  0.500
Cd  0.500  0.500  0.000
Hg  0.126  0.626  0.874
Hg  0.126  0.874  0.374
Hg  0.374  0.126  0.874
Hg  0.374  0.374  0.374
Hg  0.626  0.626  0.626
Hg  0.626  0.874  0.126
Hg  0.874  0.126  0.626
Hg  0.874  0.374  0.126

Values from the calculation:
Polymorph energy (0 for the lowest one): 36.1 meV/atom
M_tot: 0.00 μB/f.u.
Energy relative to the elements: 53 meV/atom



[3]
Crystalline Cd2PW at its relaxed geometry. Source: the Alexandria database, functional PBE-GGA.

a = 2.854 Å, b = 4.539 Å, c = 5.769 Å
α = 90.00°, β = 104.23°, γ = 90.00°
Element x y z (fractional)
Cd  0.000  0.000  0.000
Cd  0.365  0.500  0.734
P  0.639  0.500  0.281
W  0.733  0.000  0.469

Values from the calculation:
Polymorph energy (0 for the lowest one): 291.0 meV/atom
M_tot: 0.00 μB/f.u.
Energy relative to the elements: 411 meV/atom



[4]
Crystalline Sm2HSe at its relaxed geometry. Source: the Alexandria database, functional PBE-GGA.

a = 7.775 Å, b = 7.775 Å, c = 7.775 Å
α = 28.78°, β = 28.78°, γ = 28.78°
Element x y z (fractional)
Sm  0.000  0.000  0.000
Sm  0.164  0.164  0.164
H  0.352  0.352  0.352
Se  0.582  0.582  0.582

Values from the calculation:
Polymorph energy (0 for the lowest one): 128.4 meV/atom
M_tot: 0.74 μB/f.u.



[5]
Crystalline LaCr4Rh at its relaxed geometry. Source: the Alexandria database, functional PBE-GGA.

a = 5.042 Å, b = 5.042 Å, c = 5.042 Å
α = 60.00°, β = 60.00°, γ = 60.00°
Element x y z (fractional)
La  0.000  0.000  0.000
Cr  0.375  0.375  0.375
Cr  0.375  0.375  0.874
Cr  0.375  0.874  0.375
Cr  0.874  0.375  0.375
Rh  0.750  0.750  0.750

Values from the calculation:
M_tot: 0.00 μB/f.u.
Energy relative to the elements: 464 meV/atom



[6]
Crystalline ZrUSb2 at its relaxed geometry. Source: the Alexandria database, functional PBE-GGA.

a = 5.142 Å, b = 5.142 Å, c = 5.142 Å
α = 60.00°, β = 60.00°, γ = 60.00°
Element x y z (fractional)
Zr  0.000  0.000  0.000
U  0.500  0.500  0.500
Sb  0.250  0.250  0.250
Sb  0.750  0.750  0.750

Values from the calculation:
Polymorph energy (0 for the lowest one): 93.3 meV/atom
M_tot: 1.95 μB/f.u.
Formation energy from raw total energies: -320 meV per atom



[7]
Crystalline MgCoBr at its relaxed geometry. Source: the Alexandria database, functional PBE-GGA.

a = 4.096 Å, b = 4.096 Å, c = 3.549 Å
α = 90.00°, β = 90.00°, γ = 120.00°
Element x y z (fractional)
Mg  0.000  0.000  0.000
Co  0.667  0.333  0.500
Br  0.333  0.667  0.500

Values from the calculation:
Polymorph energy (0 for the lowest one): 731.7 meV/atom
M_tot: 0.00 μB/f.u.
Formation energy from raw total energies: 256 meV per atom



[8]
Crystalline Cs2BeHBr6 at its relaxed geometry. Source: the Alexandria database, functional PBE-GGA.

a = 7.752 Å, b = 7.752 Å, c = 7.752 Å
α = 121.84°, β = 121.84°, γ = 86.84°
Element x y z (fractional)
Cs  0.250  0.750  0.500
Cs  0.750  0.250  0.500
Be  0.000  0.000  0.000
H  0.500  0.500  0.000
Br  0.182  0.182  0.000
Br  0.286  0.286  0.572
Br  0.286  0.714  0.000
Br  0.714  0.286  0.000
Br  0.714  0.714  0.428
Br  0.818  0.818  0.000

Values from the calculation:
M_tot: 0.00 μB/f.u.
Uncorrected energy: -2.6225 eV per atom



[9]
Crystalline SrYCu at its relaxed geometry. Source: the Alexandria database, functional PBE-GGA.

a = 4.155 Å, b = 4.155 Å, c = 6.780 Å
α = 90.00°, β = 90.00°, γ = 120.00°
Element x y z (fractional)
Sr  0.000  0.000  0.000
Y  0.667  0.333  0.498
Cu  0.333  0.667  0.705

Values from the calculation:
Polymorph energy (0 for the lowest one): 129.7 meV/atom
M_tot: 0.00 μB/f.u.
Energy relative to the elements: 105 meV/atom



[10]
Crystalline NdThSc2 at its relaxed geometry. Source: the Alexandria database, functional PBE-GGA.

a = 5.465 Å, b = 5.465 Å, c = 5.465 Å
α = 60.00°, β = 60.00°, γ = 60.00°
Element x y z (fractional)
Nd  0.000  0.000  0.000
Th  0.500  0.500  0.500
Sc  0.250  0.250  0.250
Sc  0.750  0.750  0.750

Values from the calculation:
Polymorph energy (0 for the lowest one): 46.4 meV/atom
M_tot: 0.00 μB/f.u.
Energy relative to the elements: 69 meV/atom



[11]
Crystalline YTc2Sb at its relaxed geometry. Source: the Alexandria database, functional PBE-GGA.

a = 8.636 Å, b = 8.636 Å, c = 8.636 Å
α = 21.98°, β = 21.98°, γ = 21.98°
Element x y z (fractional)
Y  0.000  0.000  0.000
Tc  0.243  0.243  0.243
Tc  0.757  0.757  0.757
Sb  0.500  0.500  0.500

Values from the calculation:
M_tot: 0.00 μB/f.u.
Formation energy from raw total energies: 364 meV per atom



[12]
Crystalline Pm3U2PaN6 at its relaxed geometry. Source: the Alexandria database, functional PBE-GGA.

a = 6.105 Å, b = 6.105 Å, c = 6.115 Å
α = 99.59°, β = 99.59°, γ = 120.00°
Element x y z (fractional)
Pm  0.000  0.000  0.000
Pm  0.334  0.666  0.000
Pm  0.666  0.334  0.000
U  0.167  0.833  0.500
U  0.833  0.167  0.500
Pa  0.500  0.500  0.500
N  0.090  0.429  0.286
N  0.232  0.232  0.713
N  0.429  0.090  0.286
N  0.571  0.910  0.714
N  0.768  0.768  0.287
N  0.910  0.571  0.714

Values from the calculation:
M_tot: 1.73 μB/f.u.
Formation energy from raw total energies: -1473 meV per atom



[13]
Crystalline Ce8CoIr3I4 at its relaxed geometry. Source: the Alexandria database, functional PBE-GGA.

a = 9.281 Å, b = 9.281 Å, c = 9.281 Å
α = 52.92°, β = 52.92°, γ = 52.92°
Element x y z (fractional)
Ce  0.229  0.229  0.229
Ce  0.236  0.724  0.724
Ce  0.276  0.276  0.764
Ce  0.276  0.764  0.276
Ce  0.724  0.236  0.724
Ce  0.724  0.724  0.236
Ce  0.764  0.276  0.276
Ce  0.771  0.771  0.771
Co  0.500  0.500  0.500
Ir  0.000  0.000  0.500
Ir  0.000  0.500  0.000
Ir  0.500  0.000  0.000
I  0.000  0.000  0.000
I  0.000  0.500  0.500
I  0.500  0.000  0.500
I  0.500  0.500  0.000

Values from the calculation:
M_tot: 7.12 μB/f.u.
Formation energy from raw total energies: -829 meV per atom



[14]
Crystalline La2TlSbRu at its relaxed geometry. Source: the Alexandria database, functional PBE-GGA.

a = 5.408 Å, b = 5.408 Å, c = 5.236 Å
α = 90.00°, β = 90.00°, γ = 90.00°
Element x y z (fractional)
La  0.000  0.500  0.000
La  0.500  0.000  0.000
Tl  0.000  0.000  0.500
Sb  0.500  0.500  0.500
Ru  0.000  0.000  0.000

Values from the calculation:
M_tot: 0.00 μB/f.u.
Formation energy from raw total energies: -525 meV per atom



[15]
Crystalline HoH4Pd6 at its relaxed geometry. Source: the Alexandria database, functional PBE-GGA.

a = 5.681 Å, b = 5.681 Å, c = 5.866 Å
α = 119.88°, β = 119.88°, γ = 87.36°
Element x y z (fractional)
Ho  0.000  0.000  0.000
H  0.292  0.292  0.575
H  0.322  0.621  0.239
H  0.621  0.322  0.239
H  0.787  0.787  0.440
Pd  0.039  0.039  0.532
Pd  0.479  0.479  0.488
Pd  0.502  0.961  0.990
Pd  0.514  0.988  0.498
Pd  0.961  0.502  0.990
Pd  0.988  0.514  0.498

Values from the calculation:
M_tot: 0.00 μB/f.u.
Uncorrected energy: -4.7720 eV per atom



[16]
Crystalline ZrMnPb2 at its relaxed geometry. Source: the Alexandria database, functional PBE-GGA.

a = 5.902 Å, b = 5.902 Å, c = 5.902 Å
α = 137.83°, β = 137.83°, γ = 61.16°
Element x y z (fractional)
Zr  0.000  0.000  0.000
Mn  0.750  0.250  0.500
Pb  0.250  0.750  0.500
Pb  0.500  0.500  0.000

Values from the calculation:
Polymorph energy (0 for the lowest one): 0.0 meV/atom
M_tot: 4.06 μB/f.u.
Energy relative to the elements: 138 meV/atom



[17]
Crystalline HoZnCl6 at its relaxed geometry. Source: the Alexandria database, functional PBE-GGA.

a = 6.376 Å, b = 6.378 Å, c = 6.902 Å
α = 90.19°, β = 117.21°, γ = 119.96°
Element x y z (fractional)
Ho  0.000  0.000  0.000
Zn  0.000  0.500  0.500
Cl  0.157  0.420  0.257
Cl  0.159  0.260  0.740
Cl  0.481  0.899  0.743
Cl  0.519  0.101  0.257
Cl  0.841  0.740  0.260
Cl  0.843  0.580  0.743

Values from the calculation:
M_tot: 1.08 μB/f.u.
Formation energy from raw total energies: -1355 meV per atom



[18]
Crystalline SrZnSb2I at its relaxed geometry. Source: the Alexandria database, functional PBE-GGA.

a = 6.385 Å, b = 6.385 Å, c = 6.306 Å
α = 90.00°, β = 90.00°, γ = 90.00°
Element x y z (fractional)
Sr  0.000  0.000  0.000
Zn  0.500  0.500  0.500
Sb  0.000  0.500  0.000
Sb  0.500  0.000  0.000
I  0.000  0.000  0.500

Values from the calculation:
Polymorph energy (0 for the lowest one): 666.2 meV/atom
M_tot: 2.09 μB/f.u.
Formation energy from raw total energies: 432 meV per atom



[19]
Crystalline Hf6Sb3Pb at its relaxed geometry. Source: the Alexandria database, functional PBE-GGA.

a = 8.406 Å, b = 8.406 Å, c = 7.404 Å
α = 90.00°, β = 90.00°, γ = 113.52°
Element x y z (fractional)
Hf  0.015  0.445  0.977
Hf  0.042  0.958  0.500
Hf  0.236  0.381  0.661
Hf  0.258  0.742  0.748
Hf  0.381  0.236  0.161
Hf  0.445  0.015  0.477
Hf  0.555  0.985  0.977
Hf  0.619  0.764  0.661
Hf  0.742  0.258  0.248
Hf  0.764  0.619  0.161
Hf  0.958  0.042  0.000
Hf  0.985  0.555  0.477
Sb  0.100  0.301  0.305
Sb  0.301  0.100  0.805
Sb  0.426  0.574  0.986
Sb  0.574  0.426  0.486
Sb  0.699  0.900  0.305
Sb  0.900  0.699  0.805
Pb  0.184  0.816  0.186
Pb  0.816  0.184  0.686

Values from the calculation:
M_tot: 0.00 μB/f.u.
Formation energy from raw total energies: -209 meV per atom